Entry from Alexandria: CaTcN3 after structural relaxation (PBE-GGA).

a = 3.1637 Å, b = 5.7697 Å, c = 8.0942 Å
α = 84.30°, β = 78.80°, γ = 74.10°
Space group P1 (No. 1)
Asymmetric unit:
Ca1 0.0000 0.0000 0.0000
Ca2 0.3561 0.7546 0.5300
Tc1 0.5633 0.1964 0.6756
Tc2 0.7907 0.5386 0.8783
N1 0.0257 0.4094 0.5372
N2 0.1594 0.1815 0.4970
N3 0.3891 0.2979 0.9233
N4 0.5117 0.7562 0.2214
N5 0.6280 0.6524 0.0921
N6 0.6982 0.8511 0.7501

Summary:
**D(E_F)**: 1.9 states/eV/cell
**E_form (uncorrected)**: -0.25 eV/atom
**Total magnetic moment**: 0.000 μB/f.u.

Entry from Alexandria: CaTcN3 after structural relaxation (PBE-GGA).

a = 3.1159 Å, b = 5.1425 Å, c = 8.1202 Å
α = 88.99°, β = 84.21°, γ = 72.59°
Space group P1 (No. 1)
Asymmetric unit:
Ca1 0.0000 0.0000 0.0000
Ca2 0.4133 0.5129 0.3552
Tc1 0.1182 0.9974 0.6052
Tc2 0.8295 0.4793 0.7366
N1 0.1996 0.0834 0.3789
N2 0.3986 0.9903 0.2450
N3 0.4521 0.2051 0.7800
N4 0.7604 0.7358 0.5533
N5 0.7618 0.5944 0.9649
N6 0.8631 0.4736 0.0950

Summary:
**D(E_F)**: 0.0 states/eV/cell
**E_form (uncorrected)**: -0.28 eV/atom
**Total magnetic moment**: 0.000 μB/f.u.

Entry from Alexandria: CaTcN3 after structural relaxation (PBE-GGA).

a = 4.9797 Å, b = 5.7733 Å, c = 5.8632 Å
α = 105.79°, β = 105.66°, γ = 111.12°
Space group P1 (No. 1)
Asymmetric unit:
Ca1 0.0000 0.0000 0.0000
Ca2 0.4251 0.7170 0.3412
Tc1 0.4280 0.3286 0.7303
Tc2 0.9183 0.3702 0.5768
N1 0.2361 0.7124 0.8965
N2 0.3989 0.6827 0.7485
N3 0.4400 0.1737 0.4122
N4 0.6387 0.4071 0.0821
N5 0.8702 0.3908 0.2289
N6 0.9561 0.0653 0.6020

Summary:
**D(E_F)**: 0.0 states/eV/cell
**E_form (uncorrected)**: -0.32 eV/atom
**Total magnetic moment**: 0.000 μB/f.u.

Entry from Alexandria: CaTcN3 after structural relaxation (PBE-GGA).

a = 10.3337 Å, b = 10.3337 Å, c = 10.3337 Å
α = 90.00°, β = 90.00°, γ = 90.00°
Space group Fd-3m (No. 227, origin choice 2)
Asymmetric unit:
Ca1 0.0000 0.0000 0.0000
Tc1 0.0000 0.0000 0.5000
N1 0.0703 0.3750 0.8750

Summary:
**D(E_F)**: 40.3 states/eV/cell
**E_form (uncorrected)**: 0.25 eV/atom
**Total magnetic moment**: 0.197 μB/f.u.

Entry from Alexandria: CaTc2N2 after structural relaxation (PBE-GGA).

a = 3.6499 Å, b = 3.6499 Å, c = 10.6238 Å
α = 90.00°, β = 90.00°, γ = 90.00°
Space group I4/mmm (No. 139)
Asymmetric unit:
Ca1 0.0000 0.0000 0.0000
Tc1 0.0000 0.5000 0.2500
N1 0.0000 0.0000 0.3538

Summary:
**D(E_F)**: 6.0 states/eV/cell
**Relative energy among the computed polymorphs**: 0.000 eV/atom
**E_form (uncorrected)**: 0.00 eV/atom
**Total magnetic moment**: 0.000 μB/f.u.

Entry from Alexandria: Ca3TcN4 after structural relaxation (PBE-GGA).

a = 7.6599 Å, b = 6.6454 Å, c = 5.2327 Å
α = 90.00°, β = 90.00°, γ = 90.00°
Space group Pmn2_1 (No. 31)
Asymmetric unit:
Ca1 0.0000 0.1473 0.9998
Ca2 0.2435 0.3286 0.5000
Tc1 0.0000 0.8239 0.4532
N1 0.0000 0.1033 0.5255
N2 0.0000 0.8173 0.0992
N3 0.2098 0.6897 0.5330

Summary:
**D(E_F)**: 8.1 states/eV/cell
**E_form (uncorrected)**: -0.76 eV/atom
**Total magnetic moment**: 1.043 μB/f.u.

Entry from Alexandria: CaTcN3 after structural relaxation (PBE-GGA).

a = 4.8556 Å, b = 3.2312 Å, c = 8.2466 Å
α = 90.00°, β = 92.96°, γ = 90.00°
Space group Pm (No. 6)
Asymmetric unit:
Ca1 0.0000 0.0000 0.0000
Ca2 0.4323 0.0000 0.3441
Tc1 0.0921 0.0000 0.6372
Tc2 0.5768 0.5000 0.7575
N1 0.3512 0.5000 0.5519
N2 0.3709 0.5000 0.0987
N3 0.5151 0.5000 0.9775
N4 0.9213 0.0000 0.4291
N5 0.9225 0.0000 0.2814
N6 0.9791 0.5000 0.7781

Summary:
**D(E_F)**: 0.0 states/eV/cell
**E_form (uncorrected)**: -0.32 eV/atom
**Total magnetic moment**: 0.000 μB/f.u.

Entry from Alexandria: CaTcN3 after structural relaxation (PBE-GGA).

a = 10.3830 Å, b = 11.4541 Å, c = 5.1680 Å
α = 90.00°, β = 90.00°, γ = 90.00°
Space group Cmce (No. 64)
Asymmetric unit:
Ca1 0.0000 0.1452 0.2022
Tc1 0.2500 0.0913 0.7500
N1 0.1327 0.1773 0.6010
N2 0.1550 0.0000 0.0000

Summary:
**D(E_F)**: 0.0 states/eV/cell
**E_form (uncorrected)**: -0.29 eV/atom
**Total magnetic moment**: 0.000 μB/f.u.

Entry from Alexandria: Ca2TcN3 after structural relaxation (PBE-GGA).

a = 5.3484 Å, b = 10.7760 Å, c = 11.9747 Å
α = 90.00°, β = 96.01°, γ = 90.00°
Space group C2/c (No. 15)
Asymmetric unit:
Ca1 0.2200 0.2047 0.3596
Ca2 0.2354 0.1105 0.9226
Tc1 0.2137 0.4934 0.8321
N1 0.0000 0.0092 0.2500
N2 0.0000 0.3718 0.2500
N3 0.1815 0.3292 0.8759
N4 0.2492 0.4083 0.4611

Summary:
**D(E_F)**: 7.5 states/eV/cell
**Relative energy among the computed polymorphs**: 0.000 eV/atom
**E_form (uncorrected)**: -0.71 eV/atom
**Total magnetic moment**: 0.000 μB/f.u.

Entry from Alexandria: CaTcN3 after structural relaxation (PBE-GGA).

a = 6.9731 Å, b = 5.3903 Å, c = 9.7686 Å
α = 90.00°, β = 119.50°, γ = 90.00°
Space group P2_1/c (No. 14)
Asymmetric unit:
Ca1 0.2243 0.2321 0.1282
Tc1 0.3882 0.7375 0.9713
N1 0.1693 0.6891 0.5053
N2 0.3181 0.0793 0.3813
N3 0.4175 0.5543 0.3392

Summary:
**D(E_F)**: 0.0 states/eV/cell
**E_form (uncorrected)**: -0.21 eV/atom
**Total magnetic moment**: 0.000 μB/f.u.

Entry from Alexandria: CaTcN3 after structural relaxation (PBE-GGA).

a = 3.9714 Å, b = 3.9714 Å, c = 18.8460 Å
α = 90.00°, β = 90.00°, γ = 90.00°
Space group I-4m2 (No. 119)
Asymmetric unit:
Ca1 0.0000 0.0000 0.0861
Tc1 0.0000 0.0000 0.5000
Tc2 0.0000 0.5000 0.2500
N1 0.0000 0.1552 0.3209
N2 0.0000 0.5000 0.5016

Summary:
**D(E_F)**: 11.5 states/eV/cell
**E_form (uncorrected)**: -0.18 eV/atom
**Total magnetic moment**: 0.000 μB/f.u.

Entry from Alexandria: CaTcN3 after structural relaxation (PBE-GGA).

a = 14.9389 Å, b = 3.1883 Å, c = 6.2065 Å
α = 90.00°, β = 101.69°, γ = 90.00°
Space group C2/m (No. 12)
Asymmetric unit:
Ca1 0.1437 0.0000 0.3506
Tc1 0.1034 0.5000 0.7880
N1 0.0160 0.0000 0.6111
N2 0.1158 0.0000 0.9631
N3 0.1915 0.5000 0.6366

Summary:
**D(E_F)**: 5.2 states/eV/cell
**E_form (uncorrected)**: -0.10 eV/atom
**Total magnetic moment**: 0.000 μB/f.u.

Entry from Alexandria: CaTcN3 after structural relaxation (PBE-GGA).

a = 9.6843 Å, b = 3.2627 Å, c = 7.9501 Å
α = 90.00°, β = 94.17°, γ = 90.00°
Space group Cm (No. 8)
Asymmetric unit:
Ca1 0.0000 0.0000 0.0000
Ca2 0.2361 0.0000 0.6207
Tc1 0.0150 0.5000 0.3762
Tc2 0.2584 0.5000 0.2382
N1 0.0290 0.5000 0.6172
N2 0.1243 0.0000 0.3270
N3 0.2094 0.5000 0.0005
N4 0.2564 0.5000 0.8636
N5 0.3896 0.0000 0.1727
N6 0.4748 0.0000 0.7533

Summary:
**D(E_F)**: 0.1 states/eV/cell
**E_form (uncorrected)**: -0.31 eV/atom
**Total magnetic moment**: 0.000 μB/f.u.

Entry from Alexandria: CaTcTe2N after structural relaxation (PBE-GGA).

a = 4.8255 Å, b = 4.8255 Å, c = 4.4244 Å
α = 90.00°, β = 90.00°, γ = 90.00°
Space group P4/mmm (No. 123)
Asymmetric unit:
Ca1 0.0000 0.0000 0.0000
Tc1 0.5000 0.5000 0.0000
Te1 0.0000 0.5000 0.5000
N1 0.0000 0.0000 0.5000

Summary:
**D(E_F)**: 3.4 states/eV/cell
**Relative energy among the computed polymorphs**: 0.794 eV/atom
**E_form (uncorrected)**: 0.48 eV/atom
**Total magnetic moment**: 2.281 μB/f.u.

Entry from Alexandria: CaTcTe2N after structural relaxation (PBE-GGA).

a = 5.5771 Å, b = 5.5771 Å, c = 3.7519 Å
α = 90.00°, β = 90.00°, γ = 90.00°
Space group P4/mmm (No. 123)
Asymmetric unit:
Ca1 0.0000 0.0000 0.0000
Tc1 0.5000 0.5000 0.5000
Te1 0.0000 0.5000 0.5000
N1 0.5000 0.5000 0.0000

Summary:
**D(E_F)**: 3.3 states/eV/cell
**Relative energy among the computed polymorphs**: 0.000 eV/atom
**E_form (uncorrected)**: -0.31 eV/atom
**Total magnetic moment**: 0.100 μB/f.u.

Entry from Alexandria: CaTcTeN2 after structural relaxation (PBE-GGA).

a = 4.0172 Å, b = 4.0172 Å, c = 5.6999 Å
α = 90.00°, β = 90.00°, γ = 90.00°
Space group P4/mmm (No. 123)
Asymmetric unit:
Ca1 0.0000 0.0000 0.0000
Tc1 0.5000 0.5000 0.5000
Te1 0.5000 0.5000 0.0000
N1 0.0000 0.5000 0.5000

Summary:
**D(E_F)**: 4.4 states/eV/cell
**Relative energy among the computed polymorphs**: 0.000 eV/atom
**E_form (uncorrected)**: 0.09 eV/atom
**Total magnetic moment**: 0.026 μB/f.u.

Entry from Alexandria: CaTcTe2N after structural relaxation (PBE-GGA).

a = 5.8545 Å, b = 5.8545 Å, c = 4.3653 Å
α = 90.00°, β = 90.00°, γ = 90.00°
Space group P4/mmm (No. 123)
Asymmetric unit:
Ca1 0.0000 0.0000 0.0000
Tc1 0.5000 0.5000 0.5000
Te1 0.0000 0.5000 0.0000
N1 0.0000 0.0000 0.5000

Summary:
**D(E_F)**: 3.2 states/eV/cell
**Relative energy among the computed polymorphs**: 1.567 eV/atom
**E_form (uncorrected)**: 1.25 eV/atom
**Total magnetic moment**: 6.510 μB/f.u.

Entry from Alexandria: CaTcTeN2 after structural relaxation (PBE-GGA).

a = 4.4123 Å, b = 4.4123 Å, c = 6.4414 Å
α = 90.00°, β = 90.00°, γ = 90.00°
Space group P4/mmm (No. 123)
Asymmetric unit:
Ca1 0.0000 0.0000 0.0000
Tc1 0.5000 0.5000 0.5000
Te1 0.0000 0.0000 0.5000
N1 0.0000 0.5000 0.0000

Summary:
**D(E_F)**: 4.0 states/eV/cell
**Relative energy among the computed polymorphs**: 1.683 eV/atom
**E_form (uncorrected)**: 1.78 eV/atom
**Total magnetic moment**: 8.346 μB/f.u.

Entry from Alexandria: CaTh2TcN5 after structural relaxation (PBE-GGA).

a = 6.8731 Å, b = 6.8731 Å, c = 11.5320 Å
α = 90.00°, β = 90.00°, γ = 90.00°
Space group I4/mcm (No. 140)
Asymmetric unit:
Ca1 0.0000 0.0000 0.2500
Th1 0.1802 0.3198 0.0000
Tc1 0.0000 0.5000 0.2500
N1 0.0000 0.0000 0.0000
N2 0.1437 0.3563 0.3590

Summary:
**D(E_F)**: 16.2 states/eV/cell
**E_form (uncorrected)**: -1.02 eV/atom
**Total magnetic moment**: 0.002 μB/f.u.

Entry from Alexandria: Ca2TlTcN after structural relaxation (PBE-GGA).

a = 5.8107 Å, b = 5.8107 Å, c = 3.8118 Å
α = 90.00°, β = 90.00°, γ = 90.00°
Space group P4/mmm (No. 123)
Asymmetric unit:
Ca1 0.0000 0.5000 0.0000
Tl1 0.0000 0.0000 0.5000
Tc1 0.5000 0.5000 0.0000
N1 0.5000 0.5000 0.5000

Summary:
**D(E_F)**: 5.9 states/eV/cell
**Relative energy among the computed polymorphs**: 0.607 eV/atom
**E_form (uncorrected)**: 0.20 eV/atom
**Total magnetic moment**: 0.000 μB/f.u.